# BaCoRu3 PBEsol relaxed
# Theoretical density = 7.37 g/cm³
# D(E_F) = 8.2 states/eV/cell
# DFT formation energy = 3.221 eV/atom
data_BaCoRu3
_cell_length_a 4.829
_cell_length_b 4.829
_cell_length_c 4.829
_cell_angle_alpha 90.00
_cell_angle_beta 90.00
_cell_angle_gamma 90.00
_symmetry_space_group_name_H-M 'P m -3 m'
_symmetry_Int_Tables_number 221
_symmetry_space_group_name_Hall '-P 4 2 3'
loop_
_atom_site_label
_atom_site_fract_x
_atom_site_fract_y
_atom_site_fract_z
_atom_site_occupancy
Ba1 0.000 0.000 0.000 1
Co1 0.500 0.500 0.500 1
Ru1 0.000 0.000 0.500 1

# CaZnTc2 PBEsol relaxed
# Theoretical density = 7.65 g/cm³
# D(E_F) = 6.9 states/eV/cell
# DFT formation energy = 0.463 eV/atom
data_CaZnTc2
_cell_length_a 10.166
_cell_length_b 2.798
_cell_length_c 4.768
_cell_angle_alpha 90.00
_cell_angle_beta 105.08
_cell_angle_gamma 90.00
_symmetry_space_group_name_H-M 'C 1 2/m 1'
_symmetry_Int_Tables_number 12
_symmetry_space_group_name_Hall '-C 2y'
loop_
_atom_site_label
_atom_site_fract_x
_atom_site_fract_y
_atom_site_fract_z
_atom_site_occupancy
Ca1 0.000 0.000 0.000 1
Zn1 0.000 0.500 0.500 1
Tc1 0.222 0.000 0.708 1